Below is crystalline NaTlNiGe at its relaxed geometry, with properties calculated at the GGA-PBE level.

## Properties
VASP energy ... -13.13 eV/cell
Crystal system ... cubic
Total moment ... 0.0 μB/f.u.
Space-group type ... F-43m (216)

```
data_NaTlNiGe
_chemical_formula_sum 'Na1 Tl1 Ni1 Ge1'
_space_group_name_H-M_alt 'P 1'
_space_group_IT_number 1
_cell_length_a 4.7046
_cell_length_b 4.7046
_cell_length_c 4.7046
_cell_angle_alpha 60.00
_cell_angle_beta 60.00
_cell_angle_gamma 60.00
loop_
_space_group_symop_operation_xyz
'x,y,z'
loop_
_atom_site_label
_atom_site_type_symbol
_atom_site_fract_x
_atom_site_fract_y
_atom_site_fract_z
Ge1 Ge 0.5000 0.5000 0.5000
Na1 Na 0.7500 0.7500 0.7500
Ni1 Ni 0.2500 0.2500 0.2500
Tl1 Tl 0.0000 0.0000 0.0000
```

---

Below is crystalline Ta11Co2 at its relaxed geometry, with properties calculated at the GGA-PBE level.

## Properties
VASP energy ... -140.95 eV/cell
Crystal system ... trigonal
Total moment ... 0.1 μB/f.u.
Space-group type ... R-3m (166)

```
data_Ta11Co2
_chemical_formula_sum 'Ta11 Co2'
_space_group_name_H-M_alt 'P 1'
_space_group_IT_number 1
_cell_length_a 9.8761
_cell_length_b 9.8761
_cell_length_c 9.8761
_cell_angle_alpha 31.42
_cell_angle_beta 31.42
_cell_angle_gamma 31.42
loop_
_space_group_symop_operation_xyz
'x,y,z'
loop_
_atom_site_label
_atom_site_type_symbol
_atom_site_fract_x
_atom_site_fract_y
_atom_site_fract_z
Co1 Co 0.4534 0.4534 0.4534
Co2 Co 0.5466 0.5466 0.5466
Ta1 Ta 0.0000 0.0000 0.0000
Ta2 Ta 0.5838 0.0877 0.0877
Ta3 Ta 0.0877 0.5838 0.0877
Ta4 Ta 0.1671 0.1671 0.1671
Ta5 Ta 0.3512 0.3512 0.3512
Ta6 Ta 0.9123 0.9123 0.4162
Ta7 Ta 0.0877 0.0877 0.5838
Ta8 Ta 0.6488 0.6488 0.6488
Ta9 Ta 0.8329 0.8329 0.8329
Ta10 Ta 0.9123 0.4162 0.9123
Ta11 Ta 0.4162 0.9123 0.9123
```

---

Below is crystalline MgScCdGa at its relaxed geometry, with properties calculated at the GGA-PBE level.

## Properties
VASP energy ... -13.04 eV/cell
Crystal system ... cubic
Total moment ... 0.0 μB/f.u.
Space-group type ... F-43m (216)

```
data_MgScCdGa
_chemical_formula_sum 'Mg1 Sc1 Cd1 Ga1'
_space_group_name_H-M_alt 'P 1'
_space_group_IT_number 1
_cell_length_a 4.8329
_cell_length_b 4.8329
_cell_length_c 4.8329
_cell_angle_alpha 60.00
_cell_angle_beta 60.00
_cell_angle_gamma 60.00
loop_
_space_group_symop_operation_xyz
'x,y,z'
loop_
_atom_site_label
_atom_site_type_symbol
_atom_site_fract_x
_atom_site_fract_y
_atom_site_fract_z
Cd1 Cd 0.5000 0.5000 0.5000
Ga1 Ga 0.0000 0.0000 0.0000
Mg1 Mg 0.7500 0.7500 0.7500
Sc1 Sc 0.2500 0.2500 0.2500
```